# PrEuZnRu GGA-PBE relaxed
# **Energy of formation**: -0.39 eV/f.u.
# **Total energy**: -6.499 eV/atom
# **Calculated volume**: 93 Å³/f.u.
data_PrEuZnRu
_chemical_formula_sum 'Pr4 Eu4 Zn4 Ru4'
_space_group_name_H-M_alt 'F -4 3 m'
_space_group_IT_number 216
_space_group_name_Hall 'F -4 2 3'
_cell_length_a 7.1916
_cell_length_b 7.1916
_cell_length_c 7.1916
_cell_angle_alpha 90.00
_cell_angle_beta 90.00
_cell_angle_gamma 90.00
loop_
_atom_site_label
_atom_site_type_symbol
_atom_site_fract_x
_atom_site_fract_y
_atom_site_fract_z
_atom_site_occupancy
Pr1 Pr 0.0000 0.0000 0.0000 1
Eu1 Eu 0.0000 0.0000 0.5000 1
Zn1 Zn 0.2500 0.2500 0.7500 1
Ru1 Ru 0.2500 0.2500 0.2500 1

=====

# Pr2EuS4 GGA-PBE relaxed
# **Total energy**: -7.285 eV/atom
# **Raw formation energy**: -2.093 eV/atom
# **Calculated volume**: 163 Å³/f.u.
data_Pr2EuS4
_chemical_formula_sum 'Pr8 Eu4 S16'
_space_group_name_H-M_alt 'I -4 2 d'
_space_group_IT_number 122
_space_group_name_Hall 'I -4 2bw'
_cell_length_a 8.6815
_cell_length_b 8.6815
_cell_length_c 8.6660
_cell_angle_alpha 90.00
_cell_angle_beta 90.00
_cell_angle_gamma 90.00
loop_
_atom_site_label
_atom_site_type_symbol
_atom_site_fract_x
_atom_site_fract_y
_atom_site_fract_z
_atom_site_occupancy
Pr1 Pr 0.1276 0.2500 0.1250 1
Eu1 Eu 0.0000 0.0000 0.5000 1
S1 S 0.0752 0.1751 0.8039 1

=====

- Which formula does entry 2 have?
  Pr2EuS4